{"formula": "PtIO", "functional": "PBE-GGA", "state": "relaxed", "raw_formation_energy_ev_per_fu": 0.1, "cell": [[12.873, 0.000, 0.000], [0.000, 3.856, 0.000], [-1.914, 0.000, 5.380]], "species": ["Pt", "Pt", "Pt", "Pt", "I", "I", "I", "I", "O", "O", "O", "O"], "fractional_positions": [[0.116, 0.000, 0.476], [0.384, 0.500, 0.524], [0.616, 0.500, 0.476], [0.884, 0.000, 0.524], [0.181, 0.500, 0.202], [0.319, 0.000, 0.798], [0.681, 0.000, 0.202], [0.819, 0.500, 0.798], [0.045, 0.000, 0.735], [0.455, 0.500, 0.265], [0.545, 0.500, 0.735], [0.955, 0.000, 0.265]]}